No. 1
VASP calculation (PBE) on a relaxed structure of Sr2InBAs.

For the formation energy, the calculation gives 9.42 kJ per mole of atoms. As for the density: 4.1 Mg/m³. As for the crystal system: tetragonal. As for the space-group type: P4/mmm (123).

Cell: 6.124 4.048 6.124 Å, 90.00 90.00 90.00°
Fractional positions:
Sr 0.000 0.000 0.500
Sr 0.500 0.000 0.000
As 0.000 0.000 0.000
B 0.000 0.500 0.000
In 0.500 0.500 0.500



No. 2
VASP calculation (PBE) on a relaxed structure of SbTe2Pb.

As for the density: 8.2 Mg/m³. As for the crystal system: tetragonal. The formation energy (no corrections) comes out at 0.01 eV per atom. As for the space-group type: P4/mmm (123).

Cell: 3.878 3.878 7.874 Å, 90.00 90.00 90.00°
Fractional positions:
Pb 0.500 0.500 0.250
Sb 0.500 0.500 0.750
Te 0.000 0.000 0.989
Te 0.000 0.000 0.511



No. 3
VASP calculation (PBE) on a relaxed structure of Hf2CuNi3.

For the formation energy, the calculation gives -37.19 kJ per mole of atoms. As for the density: 11.4 Mg/m³. As for the crystal system: orthorhombic. As for the space-group type: Pnma (62).

Cell: 3.506 6.547 15.204 Å, 90.00 90.00 90.00°
Fractional positions:
Hf 0.250 0.658 0.567
Hf 0.750 0.842 0.067
Hf 0.250 0.158 0.933
Hf 0.750 0.342 0.433
Hf 0.250 0.565 0.787
Hf 0.750 0.935 0.287
Hf 0.250 0.065 0.713
Hf 0.750 0.435 0.213
Cu 0.250 0.993 0.436
Cu 0.750 0.507 0.936
Cu 0.250 0.493 0.064
Cu 0.750 0.007 0.564
Ni 0.250 0.763 0.944
Ni 0.750 0.737 0.444
Ni 0.250 0.263 0.556
Ni 0.750 0.237 0.056
Ni 0.250 0.115 0.155
Ni 0.750 0.385 0.655
Ni 0.250 0.615 0.345
Ni 0.750 0.885 0.845
Ni 0.250 0.737 0.189
Ni 0.750 0.763 0.689
Ni 0.250 0.237 0.311
Ni 0.750 0.263 0.811



No. 4
VASP calculation (PBE) on a relaxed structure of SmDyCoCu.

For the formation energy, the calculation gives -13.44 kJ per mole of atoms. As for the density: 8.9 Mg/m³. As for the crystal system: cubic. As for the distance to the lowest polymorph of the same formula: 38 meV per atom. As for the space-group type: F-43m (216).

Cell: 4.864 4.864 4.864 Å, 60.00 60.00 60.00°
Each line ends with the local moment (μB).
Fractional positions:
Co 0.000 0.000 0.000  0.56
Cu 0.500 0.500 0.500  0.00
Sm 0.250 0.250 0.250  -0.06
Dy 0.750 0.750 0.750  -0.09



No. 5
VASP calculation (PBE) on a relaxed structure of AgTePt2.

As for the density: 14.2 Mg/m³. As for the crystal system: cubic. The formation energy (no corrections) comes out at 0.16 eV per atom. As for the space-group type: F-43m (216).

Cell: 4.699 4.699 4.699 Å, 60.00 60.00 60.00°
Fractional positions:
Te 0.750 0.750 0.750
Ag 0.500 0.500 0.500
Pt 0.000 0.000 0.000
Pt 0.250 0.250 0.250



No. 6
VASP calculation (PBE) on a relaxed structure of Tl2SeBr.

As for the density: 6.8 Mg/m³. As for the crystal system: trigonal. The formation energy (no corrections) comes out at -0.35 eV per atom. As for the distance to the lowest polymorph of the same formula: 135 meV per atom. As for the space-group type: R3m (160).

Cell: 8.937 8.937 8.937 Å, 28.03 28.03 28.03°
Fractional positions:
Br 0.513 0.513 0.513
Se 0.728 0.728 0.728
Tl 0.012 0.012 0.012
Tl 0.247 0.247 0.247